(1)
First-principles (PBE) data for an optimized crystal structure of KNdSO, as listed in Alexandria via LeMat-Bulk.

E_form (uncorrected): -2.16 eV/atom
Symmetry: R3m (160)

Lattice parameters (Å, degrees): 3.8885 3.8885 7.3213 74.60 74.60 60.00
With the nearest neighbours (Å) after each atom.
Fractional coordinates of all 4 atoms:
K 0.5025 0.5025 0.4925  3 S 3.05, 3 O 3.12
Nd 0.9871 0.9871 0.0386  3 O 2.45
S 0.7372 0.7372 0.7883  3 Nd 2.84, 3 K 3.05
O 0.2732 0.2732 0.1805  3 Nd 2.45

(2)
First-principles (PBE) data for an optimized crystal structure of K2NdSO6, as listed in Alexandria via LeMat-Bulk.

E_form (uncorrected): -1.56 eV/atom
Symmetry: P-3m1 (164)

Lattice parameters (Å, degrees): 5.8454 6.1915 6.1915 120.00 90.00 90.00
With the nearest neighbours (Å) after each atom.
Fractional coordinates of all 10 atoms:
K 0.0885 0.3333 0.6667  3 O 2.66
K 0.9115 0.6667 0.3333  3 O 2.66
Nd 0.5000 0.0000 0.0000  6 O 2.38
S 0.0000 0.0000 0.0000  6 O 1.70
O 0.8309 0.1286 0.2572  1 S 1.70
O 0.8309 0.1286 0.8714  1 S 1.70
O 0.8309 0.7428 0.8714  1 S 1.70
O 0.1691 0.8714 0.1286  1 S 1.70
O 0.1691 0.2572 0.1286  1 S 1.70
O 0.1691 0.8714 0.7428  1 S 1.70